Ca3TlHg12: optimized geometry, PBE-GGA.

Structure (CIF):
```
data_Ca3TlHg12
_cell_length_a 4.675
_cell_length_b 4.675
_cell_length_c 19.257
_cell_angle_alpha 90.00
_cell_angle_beta 90.00
_cell_angle_gamma 90.00
_symmetry_space_group_name_H-M 'P 1'
_symmetry_Int_Tables_number 1
loop_
_symmetry_equiv_pos_as_xyz
'x,y,z'
loop_
_atom_site_label
_atom_site_type_symbol
_atom_site_fract_x
_atom_site_fract_y
_atom_site_fract_z
Hg1 Hg 0.500 0.500 0.500
Hg2 Hg 0.500 0.000 0.131
Hg3 Hg 0.500 0.000 0.377
Hg4 Hg 0.500 0.000 0.869
Hg5 Hg 0.000 0.500 0.377
Hg6 Hg 0.000 0.500 0.131
Hg7 Hg 0.000 0.500 0.623
Hg8 Hg 0.500 0.500 0.000
Hg9 Hg 0.500 0.500 0.742
Hg10 Hg 0.500 0.500 0.258
Hg11 Hg 0.500 0.000 0.623
Hg12 Hg 0.000 0.500 0.869
Ca1 Ca 0.000 0.000 0.252
Ca2 Ca 0.000 0.000 0.748
Ca3 Ca 0.000 0.000 0.500
Tl1 Tl 0.000 0.000 0.000
```

## Properties
Space group: No. 123
Formation enthalpy at 0 K in eV per atom: -0.287